! BPPbO2 | Alexandria | PBE | relaxed; values from VASP
&SYSTEM
  ibrav = 0, nat = 5, ntyp = 4
/
ATOMIC_SPECIES
B 10.81 B.upf
P 30.97 P.upf
Pb 207.20 Pb.upf
O 16.00 O.upf
ATOMIC_POSITIONS angstrom
B 0.000 0.000 0.000
P 2.030 2.030 0.000
Pb 2.030 2.030 2.877
O 0.000 2.030 2.877
O 2.030 0.000 2.877
CELL_PARAMETERS angstrom
4.059 0.000 0.000
0.000 4.059 0.000
0.000 0.000 5.755
! relative energy among the computed polymorphs = 1011 meV per atom
! space-group type = P4/mmm


! Y8HC3N3 | Alexandria | PBE | relaxed; values from VASP
&SYSTEM
  ibrav = 0, nat = 15, ntyp = 4
/
ATOMIC_SPECIES
Y 88.91 Y.upf
H 1.01 H.upf
C 12.01 C.upf
N 14.01 N.upf
ATOMIC_POSITIONS angstrom
Y 0.000 0.000 4.306
Y 0.000 -2.012 7.240
Y -1.742 1.006 7.240
Y -1.742 -1.006 10.096
Y 1.742 1.006 7.240
Y 1.742 -1.006 10.096
Y 0.000 2.012 10.096
Y 0.000 0.000 13.030
H 0.000 0.000 0.000
C -1.767 -1.020 5.779
C -1.767 1.020 11.557
C 0.000 2.040 5.779
N -3.534 0.000 8.668
N -1.767 1.020 2.889
N 1.767 1.020 2.889
CELL_PARAMETERS angstrom
3.534 2.040 5.779
-3.534 2.040 5.779
0.000 -4.080 5.779
! E = -119.4 eV/cell
! space-group type = R-3m


! SiWI2N | Alexandria | PBE | relaxed; values from VASP
&SYSTEM
  ibrav = 0, nat = 5, ntyp = 4
/
ATOMIC_SPECIES
Si 28.09 Si.upf
W 183.84 W.upf
I 126.90 I.upf
N 14.01 N.upf
ATOMIC_POSITIONS angstrom
Si 0.000 0.000 0.000
W 2.810 2.810 1.665
I 0.000 2.810 0.000
I 2.810 0.000 0.000
N 0.000 0.000 1.665
CELL_PARAMETERS angstrom
5.620 0.000 0.000
0.000 5.620 0.000
0.000 0.000 3.329
! relative energy among the computed polymorphs = 412 meV per atom
! space-group type = P4/mmm


! ScH4Pd2Rh | Alexandria | PBE | relaxed; values from VASP
&SYSTEM
  ibrav = 0, nat = 8, ntyp = 4
/
ATOMIC_SPECIES
Sc 44.96 Sc.upf
H 1.01 H.upf
Pd 106.42 Pd.upf
Rh 102.91 Rh.upf
ATOMIC_POSITIONS angstrom
Sc 0.000 0.000 0.000
H 1.533 1.533 -1.021
H 1.029 -1.029 3.907
H 1.029 1.029 1.864
H -1.029 1.029 3.907
Pd 2.562 0.000 1.443
Pd 0.000 2.562 1.443
Rh 0.000 0.000 2.886
CELL_PARAMETERS angstrom
-2.562 2.562 2.886
2.562 -2.562 2.886
2.562 2.562 -2.886
! E = -40.6 eV/cell
! space-group type = I-42m


! Mg2BeOsF | Alexandria | PBE | relaxed; values from VASP
&SYSTEM
  ibrav = 0, nat = 5, ntyp = 4
/
ATOMIC_SPECIES
Mg 24.30 Mg.upf
Be 9.01 Be.upf
Os 190.23 Os.upf
F 19.00 F.upf
ATOMIC_POSITIONS angstrom
Mg 0.000 2.516 0.000
Mg 2.516 0.000 0.000
Be 0.000 0.000 2.040
Os 0.000 0.000 0.000
F 2.516 2.516 2.040
CELL_PARAMETERS angstrom
5.033 0.000 0.000
0.000 5.033 0.000
0.000 0.000 4.080
! E = -18.5 eV/cell
! space-group type = P4/mmm


! CdCoRh | Alexandria | PBE | relaxed; values from VASP
&SYSTEM
  ibrav = 0, nat = 6, ntyp = 3
/
ATOMIC_SPECIES
Cd 112.41 Cd.upf
Co 58.93 Co.upf
Rh 102.91 Rh.upf
ATOMIC_POSITIONS angstrom
Cd 0.713 1.063 0.900
Cd 2.143 3.188 6.694
Co 0.712 3.188 4.111
Co 2.144 1.063 3.483
Rh 0.710 1.063 5.561
Rh 2.146 3.188 2.033
CELL_PARAMETERS angstrom
2.867 0.000 0.000
0.000 4.250 0.000
-0.011 0.000 7.593
! relative energy among the computed polymorphs = 23 meV per atom
! ΔE_f = 0.113 eV per atom
! space-group type = P2_1/m


Looking at size of the total moment for the records above, in order, we have 0.59; 0.00; 3.01; 0.00; 0.00; 2.37 μB per formula unit.